Record 1
MgCr2Cu | PBE | optimized geometry

Lattice parameters (Å, degrees): 9.182 9.182 9.182 16.39 16.39 16.39
Element x y z (fractional)
Mg 0.000 0.000 0.000
Cr 0.245 0.245 0.245
Cr 0.755 0.755 0.755
Cu 0.500 0.500 0.500

**SG**: R-3m, No. 166
**ΔH_f (0 K)**: 0.590 eV/atom
**Electronic total energy**: -22.58 eV per cell
**Spin magnetization**: 1.3 μB per cell

=====

Record 2
Y2Ho6Er3Zr | PBE | optimized geometry

Lattice parameters (Å, degrees): 6.051 6.051 11.570 94.97 94.97 119.90
Element x y z (fractional)
Y 0.167 0.833 0.000
Y 0.833 0.167 0.000
Ho 0.092 0.418 0.753
Ho 0.256 0.256 0.246
Ho 0.418 0.092 0.753
Ho 0.582 0.908 0.247
Ho 0.744 0.744 0.754
Ho 0.908 0.582 0.247
Er 0.000 0.000 0.500
Er 0.333 0.667 0.500
Er 0.667 0.333 0.500
Zr 0.500 0.500 0.000

**SG**: C2/m, No. 12
**ΔH_f (0 K)**: 0.045 eV/atom
**Electronic total energy**: -62.09 eV per cell
**Spin magnetization**: 0.0 μB per cell

=====

Record 3
CdSnSe2N | PBE | optimized geometry

Lattice parameters (Å, degrees): 5.379 5.379 4.246 90.00 90.00 90.00
Element x y z (fractional)
Cd 0.000 0.000 0.000
Sn 0.500 0.500 0.500
Se 0.000 0.500 0.000
Se 0.500 0.000 0.000
N 0.000 0.000 0.500

**Formation energy from raw total energies**: 73.0 kJ/mol of atoms
**SG**: P4/mmm, No. 123
**Distance to the lowest polymorph of the same formula**: 155 meV/atom
**Electronic total energy**: -16.43 eV per cell
**Spin magnetization**: 2.2 μB per cell

=====

Record 4
ScMo | PBE | optimized geometry

Lattice parameters (Å, degrees): 4.615 4.615 4.615 62.57 62.57 62.57
Element x y z (fractional)
Sc 0.130 0.130 0.130
Sc 0.870 0.870 0.870
Mo 0.385 0.385 0.385
Mo 0.615 0.615 0.615

**SG**: R-3m, No. 166
**ΔH_f (0 K)**: 0.110 eV/atom
**Distance to the lowest polymorph of the same formula**: 134 meV/atom
**Electronic total energy**: -33.89 eV per cell
**Spin magnetization**: 0.0 μB per cell

=====

Record 5
BaNiS | PBE | optimized geometry

Lattice parameters (Å, degrees): 6.221 6.221 6.221 141.94 90.21 102.06
Element x y z (fractional)
Ba 0.218 0.000 0.218
Ba 0.782 0.000 0.782
Ni 0.362 0.362 0.000
Ni 0.741 0.241 0.500
S 0.235 0.735 0.500
S 0.654 0.654 0.000

**Formation energy from raw total energies**: -95.9 kJ/mol of atoms
**SG**: Imm2, No. 44
**Electronic total energy**: -29.63 eV per cell
**Spin magnetization**: 0.0 μB per cell

=====

Record 6
Ac2SmEr | PBE | optimized geometry

Lattice parameters (Å, degrees): 12.208 12.208 12.208 17.99 17.99 17.99
Element x y z (fractional)
Ac 0.249 0.249 0.249
Ac 0.751 0.751 0.751
Sm 0.000 0.000 0.000
Er 0.500 0.500 0.500

**SG**: R-3m, No. 166
**ΔH_f (0 K)**: 0.048 eV/atom
**Distance to the lowest polymorph of the same formula**: 6 meV/atom
**Electronic total energy**: -17.31 eV per cell
**Spin magnetization**: 0.0 μB per cell

=====

Record 7
H2Au3S2 | PBE | optimized geometry

Lattice parameters (Å, degrees): 4.950 5.031 6.496 70.54 69.00 62.69
Element x y z (fractional)
H 0.144 0.093 0.138
H 0.856 0.907 0.862
Au 0.000 0.500 0.000
Au 0.197 0.774 0.343
Au 0.803 0.226 0.657
S 0.262 0.315 0.659
S 0.738 0.685 0.341

**SG**: P-1, No. 2
**Electronic total energy**: -24.00 eV per cell
**Spin magnetization**: 0.0 μB per cell

=====

Record 8
AlBr2Cl | PBE | optimized geometry

Lattice parameters (Å, degrees): 5.048 5.048 5.048 120.12 120.12 89.79
Element x y z (fractional)
Al 0.000 0.000 0.000
Br 0.250 0.750 0.500
Br 0.500 0.500 0.000
Cl 0.750 0.250 0.500

**Formation energy from raw total energies**: 12.0 kJ/mol of atoms
**SG**: I-4m2, No. 119
**Distance to the lowest polymorph of the same formula**: 1318 meV/atom
**Electronic total energy**: -8.44 eV per cell
**Spin magnetization**: 0.0 μB per cell

=====

Record 9
BaCd12Hg6 | PBE | optimized geometry

Lattice parameters (Å, degrees): 8.291 8.291 8.291 104.61 104.61 104.61
Element x y z (fractional)
Ba 0.000 0.000 0.000
Cd 0.109 0.500 0.891
Cd 0.109 0.891 0.500
Cd 0.158 0.397 0.397
Cd 0.397 0.158 0.397
Cd 0.397 0.397 0.158
Cd 0.500 0.109 0.891
Cd 0.500 0.891 0.109
Cd 0.603 0.603 0.842
Cd 0.603 0.842 0.603
Cd 0.842 0.603 0.603
Cd 0.891 0.109 0.500
Cd 0.891 0.500 0.109
Hg 0.275 0.721 0.721
Hg 0.279 0.279 0.725
Hg 0.279 0.725 0.279
Hg 0.721 0.275 0.721
Hg 0.721 0.721 0.275
Hg 0.725 0.279 0.279

**SG**: R-3m, No. 166
**ΔH_f (0 K)**: -0.038 eV/atom
**Electronic total energy**: -15.45 eV per cell
**Spin magnetization**: 0.0 μB per cell

=====

Record 10
CaAs2H | PBE | optimized geometry

Lattice parameters (Å, degrees): 6.744 6.744 6.744 132.76 132.76 69.04
Element x y z (fractional)
Ca 0.000 0.000 0.000
Ca 0.750 0.250 0.500
As 0.338 0.125 0.713
As 0.375 0.662 0.787
As 0.412 0.625 0.287
As 0.875 0.588 0.213
H 0.250 0.750 0.500
H 0.500 0.500 0.000

**SG**: I-42d, No. 122
**Distance to the lowest polymorph of the same formula**: 0 meV/atom
**Electronic total energy**: -29.26 eV per cell
**Spin magnetization**: 0.0 μB per cell

=====

Record 11
Li5Hg3Bi3 | PBE | optimized geometry

Lattice parameters (Å, degrees): 9.854 9.854 3.417 90.00 90.00 120.00
Element x y z (fractional)
Li 0.000 0.323 0.000
Li 0.323 0.000 0.000
Li 0.333 0.667 0.000
Li 0.667 0.333 0.000
Li 0.677 0.677 0.000
Hg 0.000 0.826 0.000
Hg 0.174 0.174 0.000
Hg 0.826 0.000 0.000
Bi 0.000 0.558 0.500
Bi 0.442 0.442 0.500
Bi 0.558 0.000 0.500

**SG**: P-62m, No. 189
**ΔH_f (0 K)**: -0.147 eV/atom
**Distance to the lowest polymorph of the same formula**: 28 meV/atom
**Electronic total energy**: -23.74 eV per cell
**Spin magnetization**: 0.0 μB per cell

=====

Record 12
NdDy2UP4 | PBE | optimized geometry

Lattice parameters (Å, degrees): 6.959 4.014 6.981 90.00 109.22 90.00
Element x y z (fractional)
Nd 0.000 0.000 0.000
Dy 0.500 0.000 0.500
Dy 0.500 0.500 0.000
U 0.000 0.500 0.500
P 0.248 0.000 0.741
P 0.252 0.500 0.262
P 0.748 0.500 0.738
P 0.752 0.000 0.259

**SG**: P2/m, No. 10
**ΔH_f (0 K)**: -1.422 eV/atom
**Electronic total energy**: -58.28 eV per cell
**Spin magnetization**: 2.1 μB per cell

=====

N(E_F) values (in states/eV/cell) by entry order: 4.32; 15.26; 2.45; 4.44; 0.00; 4.92; 1.41; 4.22; 7.77; 3.80; 4.22; 7.34.